No. 1
# Sc4HgOs, relaxed, DFT GGA-PBE
# Energy, eV/atom: -6.34
# Energy above the lowest structure with this stoichiometry, meV per atom: 161
# ΔE_f, eV/atom: -0.20
data_Sc4HgOs
_chemical_formula_sum 'Sc8 Hg2 Os2'
_space_group_name_H-M_alt 'C 1 2/m 1'
_space_group_IT_number 12
_space_group_name_Hall '-C 2y'
_cell_length_a 8.138
_cell_length_b 4.683
_cell_length_c 7.945
_cell_angle_alpha 90.00
_cell_angle_beta 109.87
_cell_angle_gamma 90.00
loop_
_atom_site_label
_atom_site_type_symbol
_atom_site_fract_x
_atom_site_fract_y
_atom_site_fract_z
Sc1 Sc 0.117 0.000 0.348
Sc2 Sc 0.133 0.500 0.901
Hg1 Hg 0.000 0.500 0.500
Os1 Os 0.000 0.000 0.000

---

No. 2
# ScHgOs, relaxed, DFT GGA-PBE
# Energy, eV/atom: -5.54
# Energy above the lowest structure with this stoichiometry, meV per atom: 384
# ΔE_f, eV/atom: 0.41
data_ScHgOs
_chemical_formula_sum 'Sc4 Hg4 Os4'
_space_group_name_H-M_alt 'F -4 3 m'
_space_group_IT_number 216
_space_group_name_Hall 'F -4 2 3'
_cell_length_a 6.405
_cell_length_b 6.405
_cell_length_c 6.405
_cell_angle_alpha 90.00
_cell_angle_beta 90.00
_cell_angle_gamma 90.00
loop_
_atom_site_label
_atom_site_type_symbol
_atom_site_fract_x
_atom_site_fract_y
_atom_site_fract_z
Sc1 Sc 0.000 0.000 0.000
Hg1 Hg 0.000 0.000 0.500
Os1 Os 0.250 0.250 0.750

---

No. 3
# ScHgOs2, relaxed, DFT GGA-PBE
# Energy, eV/atom: -6.96
# ΔE_f, eV/atom: 0.31
data_ScHgOs2
_chemical_formula_sum 'Sc2 Hg2 Os4'
_space_group_name_H-M_alt 'I -4 m 2'
_space_group_IT_number 119
_space_group_name_Hall 'I -4 -2'
_cell_length_a 4.054
_cell_length_b 4.054
_cell_length_c 8.135
_cell_angle_alpha 90.00
_cell_angle_beta 90.00
_cell_angle_gamma 90.00
loop_
_atom_site_label
_atom_site_type_symbol
_atom_site_fract_x
_atom_site_fract_y
_atom_site_fract_z
Sc1 Sc 0.000 0.000 0.000
Hg1 Hg 0.000 0.500 0.750
Os1 Os 0.000 0.000 0.500
Os2 Os 0.000 0.500 0.250

---

What is the formula in the second record? ScHgOs

---

ΔE_f of number 2 (ScHgOs)? 0.41 eV/atom

---

The highest ΔE_f belongs to which entry? ScHgOs

---

What is the ΔE_f in the second record? 0.41 eV/atom